DFT (GGA-PBE) results for a relaxed structure of Ca3InSb3.

Crystal system: orthorhombic
DFT total energy, eV per atom: -3.83
Formation energy without anion corrections, eV per atom: -0.81

a = 13.147 Å, b = 4.595 Å, c = 14.516 Å
α = 90.00°, β = 90.00°, γ = 90.00°
Space group Pnma (No. 62)
One atom of each set of equivalent atoms:
Ca1 0.054 0.250 0.114 [4 per cell]
Ca2 0.155 0.750 0.503 [4 per cell]
Ca3 0.229 0.750 0.782 [4 per cell]
In1 0.063 0.250 0.701 [4 per cell]
Sb1 0.049 0.250 0.362 [4 per cell]
Sb2 0.116 0.250 0.896 [4 per cell]
Sb3 0.234 0.750 0.120 [4 per cell]

---

DFT (GGA-PBE) results for a relaxed structure of CaInSb2.

Crystal system: orthorhombic
DFT total energy, eV per atom: -3.41
Formation energy without anion corrections, eV per atom: -0.16

a = 4.700 Å, b = 4.931 Å, c = 10.070 Å
α = 90.00°, β = 90.00°, γ = 90.00°
Space group Cmm2 (No. 35)
One atom of each set of equivalent atoms:
Ca1 0.000 0.000 0.000 [2 per cell]
In1 0.000 0.500 0.247 [2 per cell]
Sb1 0.000 0.000 0.456 [2 per cell]
Sb2 0.000 0.500 0.779 [2 per cell]

---

DFT (GGA-PBE) results for a relaxed structure of CaInSb3.

Crystal system: cubic
DFT total energy, eV per atom: -3.14
Offset from the most stable computed form, eV per atom: 0.000
Formation energy without anion corrections, eV per atom: 0.28

a = 5.623 Å, b = 5.623 Å, c = 5.623 Å
α = 90.00°, β = 90.00°, γ = 90.00°
Space group Pm-3m (No. 221)
One atom of each set of equivalent atoms:
Ca1 0.000 0.000 0.000 [1 per cell]
In1 0.500 0.500 0.500 [1 per cell]
Sb1 0.000 0.500 0.500 [3 per cell]

---

DFT (GGA-PBE) results for a relaxed structure of CaInSb.

Crystal system: orthorhombic
DFT total energy, eV per atom: -3.57
Formation energy without anion corrections, eV per atom: -0.62

a = 4.299 Å, b = 17.708 Å, c = 5.004 Å
α = 90.00°, β = 90.00°, γ = 90.00°
Space group Cmcm (No. 63)
One atom of each set of equivalent atoms:
Ca1 0.000 0.168 0.250 [4 per cell]
In1 0.000 0.038 0.750 [4 per cell]
Sb1 0.000 0.348 0.250 [4 per cell]

---

DFT (GGA-PBE) results for a relaxed structure of CaInSb2.

Crystal system: trigonal
DFT total energy, eV per atom: -3.42
Formation energy without anion corrections, eV per atom: -0.18

a = 3.5656 Å, b = 3.5656 Å, c = 32.3263 Å
α = 90.00°, β = 90.00°, γ = 120.00°
Space group R-3m (No. 166, hexagonal axes)
One atom of each set of equivalent atoms:
Ca1 0.0000 0.0000 0.0000 [3 per cell]
In1 0.0000 0.0000 0.5000 [3 per cell]
Sb1 0.0000 0.0000 0.2556 [6 per cell]

---

DFT (GGA-PBE) results for a relaxed structure of Ca11InSb9.

Crystal system: orthorhombic
DFT total energy, eV per atom: -3.92
Formation energy without anion corrections, eV per atom: -0.98

a = 11.931 Å, b = 12.609 Å, c = 16.862 Å
α = 90.00°, β = 90.00°, γ = 90.00°
Space group Iba2 (No. 45)
One atom of each set of equivalent atoms:
Ca1 0.000 0.000 0.016 [4 per cell]
Ca2 0.072 0.278 0.000 [8 per cell]
Ca3 0.086 0.273 0.683 [8 per cell]
Ca4 0.164 0.176 0.341 [8 per cell]
Ca5 0.183 0.447 0.471 [8 per cell]
Ca6 0.184 0.443 0.214 [8 per cell]
In1 0.000 0.000 0.232 [4 per cell]
Sb1 0.000 0.500 0.094 [4 per cell]
Sb2 0.036 0.391 0.839 [8 per cell]
Sb3 0.135 0.119 0.847 [8 per cell]
Sb4 0.154 0.145 0.150 [8 per cell]
Sb5 0.176 0.177 0.524 [8 per cell]

---

DFT (GGA-PBE) results for a relaxed structure of CaInSb2.

Crystal system: monoclinic
DFT total energy, eV per atom: -3.65
Formation energy without anion corrections, eV per atom: -0.40

a = 4.185 Å, b = 4.227 Å, c = 6.489 Å
α = 90.00°, β = 90.06°, γ = 90.00°
Space group P2/m (No. 10)
One atom of each set of equivalent atoms:
Ca1 0.000 0.000 0.000 [1 per cell]
In1 0.000 0.000 0.500 [1 per cell]
Sb1 0.500 0.500 0.234 [2 per cell]

---

DFT (GGA-PBE) results for a relaxed structure of CaInSb.

Crystal system: cubic
DFT total energy, eV per atom: -3.31
Formation energy without anion corrections, eV per atom: -0.35

a = 7.559 Å, b = 7.559 Å, c = 7.559 Å
α = 90.00°, β = 90.00°, γ = 90.00°
Space group F-43m (No. 216)
One atom of each set of equivalent atoms:
Ca1 0.000 0.000 0.000 [4 per cell]
In1 0.000 0.000 0.500 [4 per cell]
Sb1 0.250 0.250 0.750 [4 per cell]

---

DFT (GGA-PBE) results for a relaxed structure of Ca2InSb.

Crystal system: tetragonal
DFT total energy, eV per atom: -3.28
Offset from the most stable computed form, eV per atom: 0.102
Formation energy without anion corrections, eV per atom: -0.56

a = 4.565 Å, b = 4.565 Å, c = 11.366 Å
α = 90.00°, β = 90.00°, γ = 90.00°
Space group I-4m2 (No. 119)
One atom of each set of equivalent atoms:
Ca1 0.000 0.000 0.000 [2 per cell]
Ca2 0.000 0.500 0.250 [2 per cell]
In1 0.000 0.500 0.750 [2 per cell]
Sb1 0.000 0.000 0.500 [2 per cell]

---

DFT (GGA-PBE) results for a relaxed structure of Ca2InSb.

Crystal system: cubic
DFT total energy, eV per atom: -3.31
Offset from the most stable computed form, eV per atom: 0.066
Formation energy without anion corrections, eV per atom: -0.60

a = 7.751 Å, b = 7.751 Å, c = 7.751 Å
α = 90.00°, β = 90.00°, γ = 90.00°
Space group Fm-3m (No. 225)
One atom of each set of equivalent atoms:
Ca1 0.250 0.250 0.250 [8 per cell]
In1 0.000 0.000 0.000 [4 per cell]
Sb1 0.000 0.000 0.500 [4 per cell]

---

DFT (GGA-PBE) results for a relaxed structure of CaInSb2.

Crystal system: monoclinic
DFT total energy, eV per atom: -3.63
Formation energy without anion corrections, eV per atom: -0.38

a = 6.359 Å, b = 6.911 Å, c = 12.054 Å
α = 90.00°, β = 110.07°, γ = 90.00°
Space group P2/c (No. 13)
One atom of each set of equivalent atoms:
Ca1 0.165 0.231 0.130 [4 per cell]
In1 0.327 0.111 0.877 [4 per cell]
Sb1 0.127 0.286 0.652 [4 per cell]
Sb2 0.368 0.303 0.415 [4 per cell]

---

DFT (GGA-PBE) results for a relaxed structure of CaInSb.

Crystal system: trigonal
DFT total energy, eV per atom: -3.46
Formation energy without anion corrections, eV per atom: -0.50

a = 4.5237 Å, b = 4.5237 Å, c = 5.3497 Å
α = 90.00°, β = 90.00°, γ = 120.00°
Space group P3m1 (No. 156)
One atom of each set of equivalent atoms:
Ca1 0.0000 0.0000 0.0000 [1 per cell]
In1 0.6667 0.3333 0.3953 [1 per cell]
Sb1 0.3333 0.6667 0.6625 [1 per cell]

---

DFT (GGA-PBE) results for a relaxed structure of Ca5InSb4.

Crystal system: orthorhombic
DFT total energy, eV per atom: -3.72
Formation energy without anion corrections, eV per atom: -0.79

a = 4.669 Å, b = 10.114 Å, c = 13.110 Å
α = 90.00°, β = 90.00°, γ = 90.00°
Space group Immm (No. 71)
One atom of each set of equivalent atoms:
Ca1 0.000 0.000 0.000 [2 per cell]
Ca2 0.000 0.316 0.152 [8 per cell]
In1 0.000 0.000 0.500 [2 per cell]
Sb1 0.000 0.000 0.255 [4 per cell]
Sb2 0.000 0.290 0.500 [4 per cell]

---

DFT (GGA-PBE) results for a relaxed structure of CaInSb2.

Crystal system: monoclinic
DFT total energy, eV per atom: -3.62
Formation energy without anion corrections, eV per atom: -0.37

a = 3.429 Å, b = 5.728 Å, c = 5.733 Å
α = 90.00°, β = 90.04°, γ = 90.00°
Space group Pm (No. 6)
One atom of each set of equivalent atoms:
Ca1 0.000 0.000 0.000 [1 per cell]
In1 0.002 0.500 0.498 [1 per cell]
Sb1 0.419 0.500 0.998 [1 per cell]
Sb2 0.582 0.000 0.500 [1 per cell]

---

DFT (GGA-PBE) results for a relaxed structure of Ca8In2Sb.

Crystal system: orthorhombic
DFT total energy, eV per atom: -2.70
Formation energy without anion corrections, eV per atom: -0.37

a = 5.540 Å, b = 7.687 Å, c = 16.921 Å
α = 90.00°, β = 90.00°, γ = 90.00°
Space group Immm (No. 71)
One atom of each set of equivalent atoms:
Ca1 0.000 0.000 0.185 [4 per cell]
Ca2 0.000 0.231 0.357 [8 per cell]
Ca3 0.000 0.267 0.000 [4 per cell]
In1 0.000 0.500 0.185 [4 per cell]
Sb1 0.000 0.500 0.500 [2 per cell]

---

DFT (GGA-PBE) results for a relaxed structure of CaInSb2.

Crystal system: trigonal
DFT total energy, eV per atom: -3.39
Formation energy without anion corrections, eV per atom: -0.14

a = 4.1521 Å, b = 4.1521 Å, c = 25.1885 Å
α = 90.00°, β = 90.00°, γ = 120.00°
Space group R3m (No. 160, hexagonal axes)
One atom of each set of equivalent atoms:
Ca1 0.0000 0.0000 0.0000 [3 per cell]
In1 0.0000 0.0000 0.7607 [3 per cell]
Sb1 0.0000 0.0000 0.2465 [3 per cell]
Sb2 0.0000 0.0000 0.5064 [3 per cell]

---

DFT (GGA-PBE) results for a relaxed structure of Ca2InSb.

Crystal system: tetragonal
DFT total energy, eV per atom: -3.06
Offset from the most stable computed form, eV per atom: 0.313
Formation energy without anion corrections, eV per atom: -0.35

a = 3.990 Å, b = 3.990 Å, c = 8.195 Å
α = 90.00°, β = 90.00°, γ = 90.00°
Space group P4mm (No. 99)
One atom of each set of equivalent atoms:
Ca1 0.000 0.000 0.000 [1 per cell]
Ca2 0.500 0.500 0.359 [1 per cell]
In1 0.000 0.000 0.596 [1 per cell]
Sb1 0.500 0.500 0.770 [1 per cell]

---

DFT (GGA-PBE) results for a relaxed structure of CaInSb2.

Crystal system: cubic
DFT total energy, eV per atom: -3.45
Formation energy without anion corrections, eV per atom: -0.21

a = 7.719 Å, b = 7.719 Å, c = 7.719 Å
α = 90.00°, β = 90.00°, γ = 90.00°
Space group F-43m (No. 216)
One atom of each set of equivalent atoms:
Ca1 0.000 0.000 0.000 [4 per cell]
In1 0.250 0.250 0.750 [4 per cell]
Sb1 0.000 0.000 0.500 [4 per cell]
Sb2 0.250 0.250 0.250 [4 per cell]

---

DFT (GGA-PBE) results for a relaxed structure of CaInSb2.

Crystal system: tetragonal
DFT total energy, eV per atom: -3.57
Formation energy without anion corrections, eV per atom: -0.32

a = 3.587 Å, b = 3.587 Å, c = 8.951 Å
α = 90.00°, β = 90.00°, γ = 90.00°
Space group P4/mmm (No. 123)
One atom of each set of equivalent atoms:
Ca1 0.000 0.000 0.000 [1 per cell]
In1 0.000 0.000 0.500 [1 per cell]
Sb1 0.500 0.500 0.245 [2 per cell]

---

DFT (GGA-PBE) results for a relaxed structure of CaInSb.

Crystal system: monoclinic
DFT total energy, eV per atom: -3.37
Formation energy without anion corrections, eV per atom: -0.42

a = 11.413 Å, b = 4.028 Å, c = 4.028 Å
α = 90.00°, β = 110.51°, γ = 90.00°
Space group Cm (No. 8)
One atom of each set of equivalent atoms:
Ca1 0.000 0.000 0.000 [2 per cell]
In1 0.310 0.000 0.310 [2 per cell]
Sb1 0.181 0.500 0.682 [2 per cell]

---

DFT (GGA-PBE) results for a relaxed structure of Ca2InSb.

Crystal system: trigonal
DFT total energy, eV per atom: -3.03
Offset from the most stable computed form, eV per atom: 0.351
Formation energy without anion corrections, eV per atom: -0.31

a = 4.4220 Å, b = 4.4220 Å, c = 26.0487 Å
α = 90.00°, β = 90.00°, γ = 120.00°
Space group R3m (No. 160, hexagonal axes)
One atom of each set of equivalent atoms:
Ca1 0.0000 0.0000 0.0000 [3 per cell]
Ca2 0.0000 0.0000 0.2096 [3 per cell]
In1 0.0000 0.0000 0.7481 [3 per cell]
Sb1 0.0000 0.0000 0.4712 [3 per cell]

---

DFT (GGA-PBE) results for a relaxed structure of CaInSb2.

Crystal system: orthorhombic
DFT total energy, eV per atom: -3.63
Formation energy without anion corrections, eV per atom: -0.39

a = 21.921 Å, b = 4.526 Å, c = 4.525 Å
α = 90.00°, β = 90.00°, γ = 90.00°
Space group Pnma (No. 62)
One atom of each set of equivalent atoms:
Ca1 0.114 0.250 0.250 [4 per cell]
In1 0.250 0.250 0.749 [4 per cell]
Sb1 0.000 0.250 0.750 [4 per cell]
Sb2 0.138 0.750 0.750 [4 per cell]

---

DFT (GGA-PBE) results for a relaxed structure of CaInSb2.

Crystal system: orthorhombic
DFT total energy, eV per atom: -3.62
Formation energy without anion corrections, eV per atom: -0.38

a = 4.070 Å, b = 4.967 Å, c = 11.218 Å
α = 90.00°, β = 90.00°, γ = 90.00°
Space group Imm2 (No. 44)
One atom of each set of equivalent atoms:
Ca1 0.000 0.000 0.000 [2 per cell]
In1 0.000 0.500 0.227 [2 per cell]
Sb1 0.000 0.000 0.494 [2 per cell]
Sb2 0.000 0.500 0.777 [2 per cell]

---

DFT (GGA-PBE) results for a relaxed structure of Ca5In2Sb.

Crystal system: tetragonal
DFT total energy, eV per atom: -2.99
Formation energy without anion corrections, eV per atom: -0.54

a = 8.388 Å, b = 8.388 Å, c = 14.498 Å
α = 90.00°, β = 90.00°, γ = 90.00°
Space group I4/mcm (No. 140)
One atom of each set of equivalent atoms:
Ca1 0.000 0.000 0.000 [4 per cell]
Ca2 0.169 0.331 0.147 [16 per cell]
In1 0.125 0.375 0.500 [8 per cell]
Sb1 0.000 0.000 0.250 [4 per cell]